Record 1
PrNdMgZr | PBE | optimized geometry

The structure in extended XYZ format:
```
4
Lattice="5.4761 0.0000 0.0000 2.7381 4.7425 0.0000 2.7381 1.5808 4.4712" Properties=species:S:1:pos:R:3 pbc="T T T"
Pr 2.7381 1.5808 1.1178
Mg 5.4761 3.1617 2.2356
Nd 8.2142 4.7425 3.3534
Zr 0.0000 0.0000 0.0000
```

Record 2
Nd4Mg3Pt | PBE | optimized geometry

The structure in extended XYZ format:
```
8
Lattice="-2.0490 2.3021 -2.2230 1.3385 -1.7812 -3.0782 -11.7115 -9.8419 0.6024" Properties=species:S:1:pos:R:3 pbc="T T T"
Mg -3.1962 -2.1270 -2.5045
Mg -6.2110 -4.6605 -2.3494
Mg -9.2257 -7.1940 -2.1943
Nd -10.4483 -8.7804 0.5375
Nd -1.2632 -1.0615 0.0650
Nd -4.3298 -3.6386 0.2227
Nd -7.3817 -6.2033 0.3797
Pt -0.3552 0.2605 -2.6506
```

Record 3
Nd3MgPt8 | PBE | optimized geometry

The structure in extended XYZ format:
```
12
Lattice="-1.6155 5.1173 1.0816 -5.3229 1.1158 0.6235 -1.6296 0.4419 9.3281" Properties=species:S:1:pos:R:3 pbc="T T T"
Nd -4.0323 2.7349 8.7440
Nd -6.9252 6.2015 1.8743
Nd -4.2944 3.3624 5.3835
Mg -6.6711 5.5931 5.1324
Pt -4.1473 5.3777 3.0331
Pt -6.8182 3.5970 7.4485
Pt -3.3350 2.8048 2.4893
Pt -7.6238 6.1489 7.9879
Pt -2.0158 1.3667 4.3760
Pt -6.2991 4.7024 9.9023
Pt -6.0112 3.3658 2.8028
Pt -4.9695 5.5925 7.6769
```

no.,energy of formation (eV per atom),E_tot (eV/atom)
1,0.134,-4.789
2,-0.347,-4.084
3,-0.991,-6.343